No. 1
# ZnSiSe2 (PBE-GGA, relaxed)
data_ZnSiSe2
_chemical_formula_sum 'Zn2 Si2 Se4'
_symmetry_space_group_name_H-M 'C 1 m 1'
_symmetry_Int_Tables_number 8
_cell_length_a 12.354
_cell_length_b 3.542
_cell_length_c 3.851
_cell_angle_alpha 90.00
_cell_angle_beta 92.38
_cell_angle_gamma 90.00
loop_
_symmetry_equiv_pos_as_xyz
'x,y,z'
'x,-y,z'
'x+1/2,y+1/2,z'
'x+1/2,-y+1/2,z'
loop_
_atom_site_label
_atom_site_type_symbol
_atom_site_fract_x
_atom_site_fract_y
_atom_site_fract_z
Zn1 Zn 0.000 0.000 0.000
Si1 Si 0.222 0.000 0.620
Se1 Se 0.052 0.500 0.505
Se2 Se 0.297 0.500 0.018
# Uncorrected formation energy in kJ/mol of formula units: -22.6



No. 2
# Dy4TlPd12 (PBE-GGA, relaxed)
data_Dy4TlPd12
_chemical_formula_sum 'Dy8 Tl2 Pd24'
_symmetry_space_group_name_H-M 'I m -3 m'
_symmetry_Int_Tables_number 229
_symmetry_space_group_name_Hall '-I 4 2 3'
_cell_length_a 8.585
_cell_length_b 8.585
_cell_length_c 8.585
_cell_angle_alpha 90.00
_cell_angle_beta 90.00
_cell_angle_gamma 90.00
loop_
_atom_site_label
_atom_site_type_symbol
_atom_site_fract_x
_atom_site_fract_y
_atom_site_fract_z
Dy1 Dy 0.250 0.250 0.250
Tl1 Tl 0.000 0.000 0.000
Pd1 Pd 0.000 0.000 0.304
Pd2 Pd 0.000 0.250 0.500
# Calculated formation energy in eV per atom: -0.761



No. 3
# CaCuSi2Pd2 (PBE-GGA, relaxed)
data_CaCuSi2Pd2
_chemical_formula_sum 'Ca1 Cu1 Si2 Pd2'
_symmetry_space_group_name_H-M 'P 4/m m m'
_symmetry_Int_Tables_number 123
_symmetry_space_group_name_Hall '-P 4 2'
_cell_length_a 4.437
_cell_length_b 4.437
_cell_length_c 5.582
_cell_angle_alpha 90.00
_cell_angle_beta 90.00
_cell_angle_gamma 90.00
loop_
_atom_site_label
_atom_site_type_symbol
_atom_site_fract_x
_atom_site_fract_y
_atom_site_fract_z
Ca1 Ca 0.000 0.000 0.000
Cu1 Cu 0.000 0.000 0.500
Si1 Si 0.000 0.500 0.500
Pd1 Pd 0.500 0.500 0.252
# Uncorrected formation energy in kJ/mol of formula units: -139.5



No. 4
# Sr5Sb3 (PBE-GGA, relaxed)
data_Sr5Sb3
_chemical_formula_sum 'Sr10 Sb6'
_symmetry_space_group_name_H-M 'P 63/m c m'
_symmetry_Int_Tables_number 193
_symmetry_space_group_name_Hall '-P 6c 2'
_cell_length_a 9.5904
_cell_length_b 9.5904
_cell_length_c 7.4516
_cell_angle_alpha 90.00
_cell_angle_beta 90.00
_cell_angle_gamma 120.00
loop_
_atom_site_label
_atom_site_type_symbol
_atom_site_fract_x
_atom_site_fract_y
_atom_site_fract_z
Sr1 Sr 0.0000 0.2533 0.2500
Sr2 Sr 0.3333 0.6667 0.0000
Sb1 Sb 0.0000 0.3902 0.7500
# Energy above the lowest structure with this stoichiometry in kJ/mol of atoms: 0.0
# Uncorrected formation energy in kJ/mol of formula units: -775.1



No. 5
# YRe6 (PBE-GGA, relaxed)
data_YRe6
_chemical_formula_sum 'Y4 Re24'
_symmetry_space_group_name_H-M 'P n m a'
_symmetry_Int_Tables_number 62
_cell_length_a 8.497
_cell_length_b 5.237
_cell_length_c 10.844
_cell_angle_alpha 90.00
_cell_angle_beta 90.00
_cell_angle_gamma 90.00
loop_
_symmetry_equiv_pos_as_xyz
'x,y,z'
'-x,-y,-z'
'-x+1/2,-y,z+1/2'
'x+1/2,y,-z+1/2'
'x+1/2,-y+1/2,-z+1/2'
'-x+1/2,y+1/2,z+1/2'
'-x,y+1/2,-z'
'x,-y+1/2,z'
loop_
_atom_site_label
_atom_site_type_symbol
_atom_site_fract_x
_atom_site_fract_y
_atom_site_fract_z
Y1 Y 0.232 0.250 0.056
Re1 Re 0.072 0.009 0.307
Re2 Re 0.082 0.250 0.521
Re3 Re 0.084 0.750 0.082
Re4 Re 0.140 0.750 0.850
Re5 Re 0.182 0.250 0.757
# Calculated formation energy in eV per atom: 0.036
# Energy above the lowest structure with this stoichiometry in kJ/mol of atoms: 0.0



No. 6
# Pa3TlRe4N12 (PBE-GGA, relaxed)
data_Pa3TlRe4N12
_chemical_formula_sum 'Pa9 Tl3 Re12 N36'
_symmetry_space_group_name_H-M 'R 3 2'
_symmetry_Int_Tables_number 155
_symmetry_space_group_name_Hall 'R 3 2"'
_cell_length_a 11.3992
_cell_length_b 11.3992
_cell_length_c 9.7749
_cell_angle_alpha 90.00
_cell_angle_beta 90.00
_cell_angle_gamma 120.00
loop_
_atom_site_label
_atom_site_type_symbol
_atom_site_fract_x
_atom_site_fract_y
_atom_site_fract_z
Pa1 Pa 0.0000 0.5631 0.0000
Tl1 Tl 0.0000 0.0000 0.0000
Re1 Re 0.0000 0.0000 0.5000
Re2 Re 0.0000 0.4400 0.5000
N1 N 0.0000 0.6007 0.5000
N2 N 0.0000 0.8408 0.5000
N3 N 0.0464 0.2266 0.2094
# Uncorrected formation energy in kJ/mol of formula units: -576.3



No. 7
# CaLa2ScRu (PBE-GGA, relaxed)
data_CaLa2ScRu
_chemical_formula_sum 'Ca1 La2 Sc1 Ru1'
_symmetry_space_group_name_H-M 'P 4/m m m'
_symmetry_Int_Tables_number 123
_symmetry_space_group_name_Hall '-P 4 2'
_cell_length_a 5.597
_cell_length_b 5.597
_cell_length_c 5.253
_cell_angle_alpha 90.00
_cell_angle_beta 90.00
_cell_angle_gamma 90.00
loop_
_atom_site_label
_atom_site_type_symbol
_atom_site_fract_x
_atom_site_fract_y
_atom_site_fract_z
Ca1 Ca 0.000 0.000 0.000
La1 La 0.000 0.500 0.500
Sc1 Sc 0.500 0.500 0.000
Ru1 Ru 0.500 0.500 0.500
# Calculated formation energy in eV per atom: -0.135



No. 8
# TmThTlCu (PBE-GGA, relaxed)
data_TmThTlCu
_chemical_formula_sum 'Tm4 Th4 Tl4 Cu4'
_symmetry_space_group_name_H-M 'F -4 3 m'
_symmetry_Int_Tables_number 216
_symmetry_space_group_name_Hall 'F -4 2 3'
_cell_length_a 7.412
_cell_length_b 7.412
_cell_length_c 7.412
_cell_angle_alpha 90.00
_cell_angle_beta 90.00
_cell_angle_gamma 90.00
loop_
_atom_site_label
_atom_site_type_symbol
_atom_site_fract_x
_atom_site_fract_y
_atom_site_fract_z
Tm1 Tm 0.000 0.000 0.000
Th1 Th 0.000 0.000 0.500
Tl1 Tl 0.250 0.250 0.250
Cu1 Cu 0.250 0.250 0.750
# Calculated formation energy in eV per atom: -0.089



No. 9
# NaFeS3 (PBE-GGA, relaxed)
data_NaFeS3
_chemical_formula_sum 'Na1 Fe1 S3'
_symmetry_space_group_name_H-M 'P m -3 m'
_symmetry_Int_Tables_number 221
_symmetry_space_group_name_Hall '-P 4 2 3'
_cell_length_a 4.817
_cell_length_b 4.817
_cell_length_c 4.817
_cell_angle_alpha 90.00
_cell_angle_beta 90.00
_cell_angle_gamma 90.00
loop_
_atom_site_label
_atom_site_type_symbol
_atom_site_fract_x
_atom_site_fract_y
_atom_site_fract_z
Na1 Na 0.000 0.000 0.000
Fe1 Fe 0.500 0.500 0.500
S1 S 0.000 0.000 0.500
# Energy above the lowest structure with this stoichiometry in kJ/mol of atoms: 118.0
# Uncorrected formation energy in kJ/mol of formula units: 580.2



No. 10
# Ca3Ac2Pb4 (PBE-GGA, relaxed)
data_Ca3Ac2Pb4
_chemical_formula_sum 'Ca6 Ac4 Pb8'
_symmetry_space_group_name_H-M 'P 1 21/c 1'
_symmetry_Int_Tables_number 14
_cell_length_a 8.755
_cell_length_b 8.838
_cell_length_c 8.293
_cell_angle_alpha 90.00
_cell_angle_beta 107.18
_cell_angle_gamma 90.00
loop_
_symmetry_equiv_pos_as_xyz
'x,y,z'
'-x,-y,-z'
'-x,y+1/2,-z+1/2'
'x,-y+1/2,z+1/2'
loop_
_atom_site_label
_atom_site_type_symbol
_atom_site_fract_x
_atom_site_fract_y
_atom_site_fract_z
Ca1 Ca 0.000 0.000 0.000
Ca2 Ca 0.255 0.167 0.749
Ac1 Ac 0.308 0.684 0.932
Pb1 Pb 0.004 0.627 0.132
Pb2 Pb 0.418 0.039 0.144
# Calculated formation energy in eV per atom: -0.607
# Energy above the lowest structure with this stoichiometry in kJ/mol of atoms: 0.0



No. 11
# Sc4TaTc (PBE-GGA, relaxed)
data_Sc4TaTc
_chemical_formula_sum 'Sc16 Ta4 Tc4'
_symmetry_space_group_name_H-M 'F -4 3 m'
_symmetry_Int_Tables_number 216
_symmetry_space_group_name_Hall 'F -4 2 3'
_cell_length_a 7.822
_cell_length_b 7.822
_cell_length_c 7.822
_cell_angle_alpha 90.00
_cell_angle_beta 90.00
_cell_angle_gamma 90.00
loop_
_atom_site_label
_atom_site_type_symbol
_atom_site_fract_x
_atom_site_fract_y
_atom_site_fract_z
Sc1 Sc 0.125 0.125 0.125
Ta1 Ta 0.250 0.250 0.750
Tc1 Tc 0.000 0.000 0.500
# Calculated formation energy in eV per atom: 0.634



No. 12
# YNi2Ge (PBE-GGA, relaxed)
data_YNi2Ge
_chemical_formula_sum 'Y4 Ni8 Ge4'
_symmetry_space_group_name_H-M 'P n m a'
_symmetry_Int_Tables_number 62
_cell_length_a 7.157
_cell_length_b 6.520
_cell_length_c 5.519
_cell_angle_alpha 90.00
_cell_angle_beta 90.00
_cell_angle_gamma 90.00
loop_
_symmetry_equiv_pos_as_xyz
'x,y,z'
'-x,-y,-z'
'-x+1/2,-y,z+1/2'
'x+1/2,y,-z+1/2'
'x+1/2,-y+1/2,-z+1/2'
'-x+1/2,y+1/2,z+1/2'
'-x,y+1/2,-z'
'x,-y+1/2,z'
loop_
_atom_site_label
_atom_site_type_symbol
_atom_site_fract_x
_atom_site_fract_y
_atom_site_fract_z
Y1 Y 0.030 0.250 0.153
Ni1 Ni 0.173 0.058 0.585
Ge1 Ge 0.124 0.750 0.348
# Calculated formation energy in eV per atom: -0.624



No. 13
# NaCa2CoBr (PBE-GGA, relaxed)
data_NaCa2CoBr
_chemical_formula_sum 'Na1 Ca2 Co1 Br1'
_symmetry_space_group_name_H-M 'P 4/m m m'
_symmetry_Int_Tables_number 123
_symmetry_space_group_name_Hall '-P 4 2'
_cell_length_a 5.622
_cell_length_b 5.622
_cell_length_c 5.177
_cell_angle_alpha 90.00
_cell_angle_beta 90.00
_cell_angle_gamma 90.00
loop_
_atom_site_label
_atom_site_type_symbol
_atom_site_fract_x
_atom_site_fract_y
_atom_site_fract_z
Na1 Na 0.000 0.000 0.000
Ca1 Ca 0.000 0.500 0.500
Co1 Co 0.500 0.500 0.000
Br1 Br 0.000 0.000 0.500
# Uncorrected formation energy in kJ/mol of formula units: 86.3



No. 14
# PmPr5Nd7 (PBE-GGA, relaxed)
data_PmPr5Nd7
_chemical_formula_sum 'Pm2 Pr10 Nd14'
_symmetry_space_group_name_H-M 'I m m 2'
_symmetry_Int_Tables_number 44
_cell_length_a 6.926
_cell_length_b 11.338
_cell_length_c 12.060
_cell_angle_alpha 90.00
_cell_angle_beta 90.00
_cell_angle_gamma 90.00
loop_
_symmetry_equiv_pos_as_xyz
'x,y,z'
'-x,-y,z'
'-x,y,z'
'x,-y,z'
'x+1/2,y+1/2,z+1/2'
'-x+1/2,-y+1/2,z+1/2'
'-x+1/2,y+1/2,z+1/2'
'x+1/2,-y+1/2,z+1/2'
loop_
_atom_site_label
_atom_site_type_symbol
_atom_site_fract_x
_atom_site_fract_y
_atom_site_fract_z
Pm1 Pm 0.000 0.000 0.000
Pr1 Pr 0.000 0.500 0.267
Pr2 Pr 0.228 0.226 0.809
Nd1 Nd 0.000 0.000 0.305
Nd2 Nd 0.000 0.000 0.606
Nd3 Nd 0.000 0.320 0.049
Nd4 Nd 0.000 0.331 0.547
Nd5 Nd 0.000 0.500 0.788
# Calculated formation energy in eV per atom: 0.220



No. 15
# K2LiHg2Br6 (PBE-GGA, relaxed)
data_K2LiHg2Br6
_chemical_formula_sum 'K4 Li2 Hg4 Br12'
_symmetry_space_group_name_H-M 'C 1 2/m 1'
_symmetry_Int_Tables_number 12
_cell_length_a 13.571
_cell_length_b 8.031
_cell_length_c 8.359
_cell_angle_alpha 90.00
_cell_angle_beta 120.68
_cell_angle_gamma 90.00
loop_
_symmetry_equiv_pos_as_xyz
'x,y,z'
'-x,-y,-z'
'-x,y,-z'
'x,-y,z'
'x+1/2,y+1/2,z'
'-x+1/2,-y+1/2,-z'
'-x+1/2,y+1/2,-z'
'x+1/2,-y+1/2,z'
loop_
_atom_site_label
_atom_site_type_symbol
_atom_site_fract_x
_atom_site_fract_y
_atom_site_fract_z
K1 K 0.228 0.000 0.170
Li1 Li 0.000 0.000 0.500
Hg1 Hg 0.051 0.500 0.195
Br1 Br 0.068 0.229 0.786
Br2 Br 0.227 0.000 0.560
# Uncorrected formation energy in kJ/mol of formula units: -1077.2



No. 16
# TmNi5Sb (PBE-GGA, relaxed)
data_TmNi5Sb
_chemical_formula_sum 'Tm4 Ni20 Sb4'
_symmetry_space_group_name_H-M 'P n m a'
_symmetry_Int_Tables_number 62
_cell_length_a 7.971
_cell_length_b 4.910
_cell_length_c 10.124
_cell_angle_alpha 90.00
_cell_angle_beta 90.00
_cell_angle_gamma 90.00
loop_
_symmetry_equiv_pos_as_xyz
'x,y,z'
'-x,-y,-z'
'-x+1/2,-y,z+1/2'
'x+1/2,y,-z+1/2'
'x+1/2,-y+1/2,-z+1/2'
'-x+1/2,y+1/2,z+1/2'
'-x,y+1/2,-z'
'x,-y+1/2,z'
loop_
_atom_site_label
_atom_site_type_symbol
_atom_site_fract_x
_atom_site_fract_y
_atom_site_fract_z
Tm1 Tm 0.245 0.250 0.058
Ni1 Ni 0.060 0.250 0.594
Ni2 Ni 0.066 0.501 0.808
Ni3 Ni 0.090 0.750 0.019
Ni4 Ni 0.185 0.750 0.250
Sb1 Sb 0.143 0.250 0.357
# Uncorrected formation energy in kJ/mol of formula units: -252.2



No. 17
# Pa2Co4BOs2 (PBE-GGA, relaxed)
data_Pa2Co4BOs2
_chemical_formula_sum 'Pa4 Co8 B2 Os4'
_symmetry_space_group_name_H-M 'I 4/m m m'
_symmetry_Int_Tables_number 139
_symmetry_space_group_name_Hall '-I 4 2'
_cell_length_a 5.655
_cell_length_b 5.655
_cell_length_c 7.951
_cell_angle_alpha 90.00
_cell_angle_beta 90.00
_cell_angle_gamma 90.00
loop_
_atom_site_label
_atom_site_type_symbol
_atom_site_fract_x
_atom_site_fract_y
_atom_site_fract_z
Pa1 Pa 0.000 0.500 0.250
Co1 Co 0.245 0.245 0.000
B1 B 0.000 0.000 0.500
Os1 Os 0.000 0.000 0.238
# Calculated formation energy in eV per atom: -0.410



No. 18
# CaCr2H7 (PBE-GGA, relaxed)
data_CaCr2H7
_chemical_formula_sum 'Ca2 Cr4 H14'
_symmetry_space_group_name_H-M 'C m m m'
_symmetry_Int_Tables_number 65
_symmetry_space_group_name_Hall '-C 2 2'
_cell_length_a 5.437
_cell_length_b 8.819
_cell_length_c 3.488
_cell_angle_alpha 90.00
_cell_angle_beta 90.00
_cell_angle_gamma 90.00
loop_
_atom_site_label
_atom_site_type_symbol
_atom_site_fract_x
_atom_site_fract_y
_atom_site_fract_z
Ca1 Ca 0.000 0.000 0.000
Cr1 Cr 0.000 0.307 0.500
H1 H 0.000 0.285 0.000
H2 H 0.000 0.500 0.500
H3 H 0.185 0.142 0.500
# VASP energy in eV for the cell shown: -91.9



No. 19
# Rb2ZrAgH (PBE-GGA, relaxed)
data_Rb2ZrAgH
_chemical_formula_sum 'Rb2 Zr1 Ag1 H1'
_symmetry_space_group_name_H-M 'P 4/m m m'
_symmetry_Int_Tables_number 123
_symmetry_space_group_name_Hall '-P 4 2'
_cell_length_a 7.281
_cell_length_b 7.281
_cell_length_c 3.492
_cell_angle_alpha 90.00
_cell_angle_beta 90.00
_cell_angle_gamma 90.00
loop_
_atom_site_label
_atom_site_type_symbol
_atom_site_fract_x
_atom_site_fract_y
_atom_site_fract_z
Rb1 Rb 0.000 0.500 0.000
Zr1 Zr 0.000 0.000 0.500
Ag1 Ag 0.500 0.500 0.000
H1 H 0.500 0.500 0.500
# VASP energy in eV for the cell shown: -12.5



No. 20
# Cs2TcCl2F4 (PBE-GGA, relaxed)
data_Cs2TcCl2F4
_chemical_formula_sum 'Cs4 Tc2 Cl4 F8'
_symmetry_space_group_name_H-M 'C 1 2/m 1'
_symmetry_Int_Tables_number 12
_cell_length_a 11.246
_cell_length_b 6.988
_cell_length_c 6.081
_cell_angle_alpha 90.00
_cell_angle_beta 91.87
_cell_angle_gamma 90.00
loop_
_symmetry_equiv_pos_as_xyz
'x,y,z'
'-x,-y,-z'
'-x,y,-z'
'x,-y,z'
'x+1/2,y+1/2,z'
'-x+1/2,-y+1/2,-z'
'-x+1/2,y+1/2,-z'
'x+1/2,-y+1/2,z'
loop_
_atom_site_label
_atom_site_type_symbol
_atom_site_fract_x
_atom_site_fract_y
_atom_site_fract_z
Cs1 Cs 0.166 0.000 0.219
Tc1 Tc 0.000 0.500 0.000
Cl1 Cl 0.150 0.500 0.285
F1 F 0.087 0.295 0.850
# Uncorrected formation energy in kJ/mol of formula units: -1870.1